Compound: Sc2Be2TcRu5
Source: Alexandria
Functional: PBE
Structure: relaxed

Cell: 9.438 9.438 3.154 Å, 90.00 90.00 90.00°
Space group P4/mbm (No. 127)
Unique sites:
Sc (0.173, 0.327, 0.000) (multiplicity 4)
Be (0.122, 0.622, 0.000) (multiplicity 4)
Tc (0.000, 0.000, 0.000) (multiplicity 2)
Ru (0.000, 0.500, 0.500) (multiplicity 2)
Ru (0.070, 0.793, 0.500) (multiplicity 8)

Results
- density (g cm⁻³) = 8.4
- M_tot (μB per formula unit) = 0.000
- formation energy from the elements (eV per atom) = -0.317
- E_tot (eV per atom) = -8.00
- N(E_F) (states/eV/cell) = 16.49